DFT (PBE-GGA) results for a relaxed NbZnSb3 crystal.

a b c (Å): 5.3634 5.3634 5.3634
angles (deg): 90.00 90.00 90.00
With the nearest neighbours (Å) after each atom.
Fractional positions:
Zn (0.5000, 0.5000, 0.5000)  12 Sb 3.79
Sb (0.5000, 0.0000, 0.0000)  2 Nb 2.68
Sb (0.0000, 0.0000, 0.5000)  2 Nb 2.68
Nb (0.0000, 0.0000, 0.0000)  6 Sb 2.68
Sb (0.0000, 0.5000, 0.0000)  2 Nb 2.68

Calculated values
As for the electronic total energy: -4.34 eV/atom. The value obtained for the density of states at the Fermi level is 3.20 states/eV/f.u. The calculation puts the excess energy over the best structure of this formula in the dataset at 0 meV/atom. Its raw formation energy is 0.41 eV per atom.